Run 1
DFT (PBE) results for a relaxed SnHg2F6 crystal.

Calculated values
**Fermi-level density of states**: 0.0000 states/eV per atom
**Crystal system**: tetragonal
**Total moment**: 0.00 Bohr magnetons per cell

Cell and atoms, written as CIF:
```
data_SnHg2F6
_chemical_formula_sum 'Sn2 Hg4 F12'
_symmetry_space_group_name_H-M 'P 42/m n m'
_symmetry_Int_Tables_number 136
_symmetry_space_group_name_Hall '-P 4n 2n'
_cell_length_a 6.329
_cell_length_b 6.329
_cell_length_c 9.621
_cell_angle_alpha 90.00
_cell_angle_beta 90.00
_cell_angle_gamma 90.00
loop_
_atom_site_label
_atom_site_type_symbol
_atom_site_fract_x
_atom_site_fract_y
_atom_site_fract_z
_atom_site_occupancy
Sn1 Sn 0.000 0.000 0.000 1
Hg1 Hg 0.000 0.000 0.365 1
F1 F 0.152 0.152 0.158 1
F2 F 0.220 0.780 0.000 1
```



Run 2
DFT (PBE) results for a relaxed SnHg2F6 crystal.

Calculated values
**Crystal system**: trigonal
**Total moment**: 0.00 Bohr magnetons per cell

Cell and atoms, written as CIF:
```
data_SnHg2F6
_chemical_formula_sum 'Sn3 Hg6 F18'
_symmetry_space_group_name_H-M 'R 3'
_symmetry_Int_Tables_number 146
_symmetry_space_group_name_Hall 'R 3'
_cell_length_a 6.3403
_cell_length_b 6.3403
_cell_length_c 17.5330
_cell_angle_alpha 90.00
_cell_angle_beta 90.00
_cell_angle_gamma 120.00
loop_
_atom_site_label
_atom_site_type_symbol
_atom_site_fract_x
_atom_site_fract_y
_atom_site_fract_z
_atom_site_occupancy
Sn1 Sn 0.0000 0.0000 0.0000 1
Hg1 Hg 0.0000 0.0000 0.6583 1
Hg2 Hg 0.0000 0.0000 0.8062 1
F1 F 0.0290 0.5517 0.7236 1
F2 F 0.1692 0.3847 0.5876 1
```



Which structure above is the least stable? It is run 2.